Record 1
Cu5RuO8 | PBE | relaxed

Cell: 5.950 5.950 5.950 Å, 60.00 60.00 60.00°
Fractional positions:
Cu (0.000, 0.000, 0.000)
Cu (0.628, 0.628, 0.116)
Cu (0.628, 0.628, 0.628)
Cu (0.116, 0.628, 0.628)
Cu (0.628, 0.116, 0.628)
Ru (0.250, 0.250, 0.250)
O (0.379, 0.863, 0.379)
O (0.863, 0.379, 0.379)
O (0.379, 0.379, 0.379)
O (0.379, 0.379, 0.863)
O (0.868, 0.868, 0.397)
O (0.397, 0.868, 0.868)
O (0.868, 0.868, 0.868)
O (0.868, 0.397, 0.868)

Values from the calculation:
- density of states at the Fermi level (states/eV/cell) = 7.82
- formation energy from raw total energies (eV per atom) = -0.5067
- calculated total energy (eV/atom) = -5.465
- space-group type = F-43m (216)

---

Record 2
TmBPbO4 | PBE | relaxed

Cell: 5.337 5.129 7.169 Å, 90.00 106.14 90.00°
Fractional positions:
Tm (0.769, 0.750, 0.430)
Tm (0.231, 0.250, 0.570)
B (0.236, 0.750, 0.341)
B (0.764, 0.250, 0.659)
Pb (0.712, 0.750, 0.872)
Pb (0.288, 0.250, 0.128)
O (0.937, 0.483, 0.686)
O (0.063, 0.983, 0.314)
O (0.063, 0.517, 0.314)
O (0.937, 0.017, 0.686)
O (0.399, 0.750, 0.205)
O (0.601, 0.250, 0.795)
O (0.407, 0.750, 0.554)
O (0.593, 0.250, 0.446)

Values from the calculation:
- density of states at the Fermi level (states/eV/cell) = 0.00
- formation energy from raw total energies (eV per atom) = -2.4736
- calculated total energy (eV/atom) = -7.429
- space-group type = P2_1/m (11)

---

Record 3
PuTlH2F8 | PBE | relaxed

Cell: 5.022 5.036 8.403 Å, 93.35 82.18 71.45°
Fractional positions:
Pu (0.000, 0.000, 0.000)
Tl (0.000, 0.000, 0.500)
H (0.331, 0.462, 0.684)
H (0.669, 0.538, 0.316)
F (0.200, 0.778, 0.173)
F (0.744, 0.761, 0.006)
F (0.736, 0.275, 0.208)
F (0.800, 0.222, 0.827)
F (0.256, 0.239, 0.994)
F (0.264, 0.725, 0.792)
F (0.638, 0.690, 0.403)
F (0.362, 0.310, 0.597)

Values from the calculation:
- density of states at the Fermi level (states/eV/cell) = 9.55
- calculated total energy (eV/atom) = -5.630
- space-group type = P-1 (2)

---

Record 4
ScCu2ReS | PBE | relaxed

Cell: 4.753 4.336 4.753 Å, 90.00 90.00 90.00°
Fractional positions:
Sc (0.500, 0.500, 0.500)
Re (0.000, 0.000, 0.000)
S (0.000, 0.500, 0.000)
Cu (0.000, 0.000, 0.500)
Cu (0.500, 0.000, 0.000)

Values from the calculation:
- density of states at the Fermi level (states/eV/cell) = 3.70
- formation energy from raw total energies (eV per atom) = 0.4571
- calculated total energy (eV/atom) = -5.763
- space-group type = P4/mmm (123)

---

Record 5
Tb2Tm2Sc | PBE | relaxed

Cell: 4.921 6.006 10.966 Å, 89.98 90.04 114.18°
Fractional positions:
Tb (0.348, 0.697, 0.450)
Tb (0.450, 0.901, 0.151)
Tb (0.652, 0.303, 0.550)
Tb (0.550, 0.099, 0.849)
Tm (0.950, 0.901, 0.652)
Tm (0.152, 0.303, 0.050)
Tm (0.050, 0.099, 0.348)
Tm (0.848, 0.697, 0.950)
Sc (0.749, 0.499, 0.249)
Sc (0.251, 0.501, 0.751)

Values from the calculation:
- density of states at the Fermi level (states/eV/cell) = 14.87
- ΔH_f (0 K) (meV/atom) = 39
- polymorph energy (0 for the lowest one) (meV per atom) = 0
- calculated total energy (eV/atom) = -4.868
- space-group type = C2/m (12)

---

Record 6
TbNd8Ho6 | PBE | relaxed

Cell: 9.132 9.132 8.752 Å, 58.55 58.55 60.00°
Fractional positions:
Tb (0.000, 0.000, 0.000)
Nd (0.248, 0.284, 0.581)
Nd (0.716, 0.113, 0.419)
Nd (0.113, 0.752, 0.419)
Nd (0.578, 0.578, 0.266)
Nd (0.422, 0.422, 0.734)
Nd (0.887, 0.248, 0.581)
Nd (0.284, 0.887, 0.581)
Nd (0.752, 0.716, 0.419)
Ho (0.461, 0.904, 0.883)
Ho (0.096, 0.248, 0.117)
Ho (0.248, 0.539, 0.117)
Ho (0.752, 0.461, 0.883)
Ho (0.904, 0.752, 0.883)
Ho (0.539, 0.096, 0.117)

Values from the calculation:
- density of states at the Fermi level (states/eV/cell) = 22.66
- ΔH_f (0 K) (meV/atom) = 125
- polymorph energy (0 for the lowest one) (meV per atom) = 0
- calculated total energy (eV/atom) = -4.558
- space-group type = R-3 (148)

---

Record 7
Cs2Ba2Hg15 | PBE | relaxed

Cell: 9.468 9.468 9.468 Å, 66.52 66.52 66.52°
Fractional positions:
Cs (0.401, 0.401, 0.401)
Cs (0.599, 0.599, 0.599)
Ba (0.092, 0.092, 0.092)
Ba (0.908, 0.908, 0.908)
Hg (0.500, 0.000, 0.000)
Hg (0.000, 0.000, 0.500)
Hg (0.000, 0.500, 0.000)
Hg (0.000, 0.699, 0.301)
Hg (0.699, 0.301, 0.000)
Hg (0.301, 0.000, 0.699)
Hg (0.301, 0.699, 0.000)
Hg (0.699, 0.000, 0.301)
Hg (0.000, 0.301, 0.699)
Hg (0.985, 0.650, 0.650)
Hg (0.650, 0.650, 0.985)
Hg (0.650, 0.985, 0.650)
Hg (0.015, 0.350, 0.350)
Hg (0.350, 0.350, 0.015)
Hg (0.350, 0.015, 0.350)

Values from the calculation:
- density of states at the Fermi level (states/eV/cell) = 10.23
- ΔH_f (0 K) (meV/atom) = -231
- calculated total energy (eV/atom) = -0.762
- space-group type = R-3m (166)

---

Record 8
ZrAg2W | PBE | relaxed

Cell: 5.738 5.738 5.738 Å, 150.24 126.85 62.11°
Fractional positions:
Ag (0.993, 0.993, 0.000)
Ag (0.747, 0.247, 0.500)
W (0.501, 0.501, 0.000)
Zr (0.259, 0.759, 0.500)

Values from the calculation:
- density of states at the Fermi level (states/eV/cell) = 2.52
- ΔH_f (0 K) (meV/atom) = 456
- calculated total energy (eV/atom) = -6.345
- space-group type = Imm2 (44)